1.
! PaFeP2Ru2, optimized geometry, DFT PBE; values from VASP
&SYSTEM
  ibrav = 0, nat = 6, ntyp = 4
/
ATOMIC_SPECIES
Fe 55.84 Fe.upf
P 30.97 P.upf
Ru 101.07 Ru.upf
Pa 231.04 Pa.upf
CELL_PARAMETERS angstrom
3.862 0.000 0.000
0.000 3.862 0.000
-1.931 -1.931 6.804
ATOMIC_POSITIONS crystal
Fe 0.000 0.000 0.000
P 0.841 0.841 0.683
Ru 0.750 0.250 0.500
P 0.159 0.159 0.317
Pa 0.500 0.500 0.000
Ru 0.250 0.750 0.500
! - ΔH_f (0 K) (eV per atom) = -0.575
! - E (eV/cell) = -50.8
! - SG = I4/mmm, No. 139

2.
! MgInW, optimized geometry, DFT PBE; values from VASP
&SYSTEM
  ibrav = 0, nat = 3, ntyp = 3
/
ATOMIC_SPECIES
W 183.84 W.upf
In 114.82 In.upf
Mg 24.30 Mg.upf
CELL_PARAMETERS angstrom
5.344 0.000 -0.001
3.006 4.418 0.001
-3.814 -2.891 2.377
ATOMIC_POSITIONS crystal
W 0.671 0.671 0.000
In 0.002 0.002 0.000
Mg 0.327 0.327 0.000
! - ΔH_f (0 K) (eV per atom) = 0.556
! - E (eV/cell) = -15.6
! - SG = Imm2, No. 44

3.
! PuZr2Ir, optimized geometry, DFT PBE; values from VASP
&SYSTEM
  ibrav = 0, nat = 4, ntyp = 3
/
ATOMIC_SPECIES
Zr 91.22 Zr.upf
Pu 244.00 Pu.upf
Ir 192.22 Ir.upf
CELL_PARAMETERS angstrom
4.854 0.000 0.000
2.427 4.204 0.000
2.427 1.401 3.961
ATOMIC_POSITIONS crystal
Zr 0.000 0.000 0.000
Pu 0.500 0.500 0.500
Ir 0.750 0.750 0.750
Zr 0.250 0.250 0.250
! - ΔH_f (0 K) (eV per atom) = -0.208
! - E (eV/cell) = -41.1
! - SG = F-43m, No. 216

4.
! Sr2LiMgZn6, optimized geometry, DFT PBE; values from VASP
&SYSTEM
  ibrav = 0, nat = 10, ntyp = 4
/
ATOMIC_SPECIES
Zn 65.41 Zn.upf
Sr 87.62 Sr.upf
Mg 24.30 Mg.upf
Li 6.94 Li.upf
CELL_PARAMETERS angstrom
6.695 0.016 -0.029
-0.025 6.912 -0.009
3.311 3.348 4.767
ATOMIC_POSITIONS crystal
Zn 0.843 0.914 0.474
Zn 0.157 0.086 0.526
Sr 0.810 0.434 0.378
Zn 0.319 0.091 0.066
Mg 0.500 0.500 0.000
Sr 0.190 0.566 0.622
Zn 0.614 0.086 0.228
Zn 0.386 0.914 0.772
Zn 0.681 0.909 0.934
Li 0.000 0.000 0.000
! - ΔH_f (0 K) (eV per atom) = -0.146
! - E (eV/cell) = -16.0
! - SG = P-1, No. 2